Record 1
A geometry-optimized Ta2PdF structure. Source: Alexandria, functional PBEsol.

Cell: 4.383 4.383 4.383 Å, 60.00 60.00 60.00°
Fractional coordinates of all 4 atoms:
Ta: 0.250 0.250 0.250
Ta: 0.750 0.750 0.750
Pd: 0.000 0.000 0.000
F: 0.500 0.500 0.500

Density   13.59 g/cm³
Magnetic moment   0.00 Bohr magnetons per cell
E_form (uncorrected)   -0.264 eV per atom

Record 2
A geometry-optimized SrSc2W structure. Source: Alexandria, functional PBEsol.

Cell: 11.041 11.041 11.041 Å, 16.24 16.24 16.24°
Fractional coordinates of all 4 atoms:
Sr: 0.000 0.000 0.000
Sc: 0.234 0.234 0.234
Sc: 0.485 0.485 0.485
W: 0.748 0.748 0.748

Density   6.54 g/cm³
Magnetic moment   0.48 Bohr magnetons per cell
Formation enthalpy at 0 K   733 meV per atom
Offset from the most stable computed form   162 meV per atom

Record 3
A geometry-optimized TlNi3H structure. Source: Alexandria, functional PBEsol.

Cell: 3.756 3.756 3.756 Å, 90.00 90.00 90.00°
Fractional coordinates of all 5 atoms:
Tl: 0.000 0.000 0.000
Ni: 0.000 0.500 0.500
Ni: 0.500 0.000 0.500
Ni: 0.500 0.500 0.000
H: 0.500 0.500 0.500

Density   11.96 g/cm³
Magnetic moment   0.00 Bohr magnetons per cell
Final energy   -24.4 eV/f.u.